(1)
Here is an optimized crystal structure of KPaHgO5 from the Alexandria database. Energies are from PBE-GGA.

Summary:
Formation energy without anion corrections: -14.02 eV per formula unit
DOS(E_F): 13.5 states/eV per cell
Density: 6.438 g/cm³
SG: C2/c, No. 15

Structure (POSCAR):
```
KPaHgO5
1.0
3.402 -5.347 0.000
3.402 5.347 0.000
-2.558 0.000 7.810
K Pa Hg O
2 2 2 10
direct
0.179 0.821 0.750
0.821 0.179 0.250
0.500 0.500 0.000
0.500 0.500 0.500
0.170 0.830 0.250
0.830 0.170 0.750
0.147 0.210 0.926
0.210 0.147 0.426
0.268 0.651 0.425
0.349 0.732 0.075
0.435 0.565 0.750
0.565 0.435 0.250
0.651 0.268 0.925
0.732 0.349 0.575
0.790 0.853 0.574
0.853 0.790 0.074
```

***

(2)
Here is an optimized crystal structure of K2HgPbO from the Alexandria database. Energies are from PBE-GGA.

Summary:
Formation energy without anion corrections: -2.82 eV per formula unit
DOS(E_F): 3.1 states/eV per cell
Density: 5.828 g/cm³
SG: P4/mmm, No. 123

Structure (POSCAR):
```
K2HgPbO
1.0
5.337 0.000 0.000
0.000 5.337 0.000
0.000 0.000 5.022
K Hg Pb O
2 1 1 1
direct
0.000 0.500 0.000
0.500 0.000 0.000
0.000 0.000 0.500
0.500 0.500 0.500
0.500 0.500 0.000
```